Entry from Alexandria via LeMat-Bulk: an optimized crystal structure of Er5GeBi2 (GGA-PBE).

Output
Crystal system: orthorhombic
SG: Cmcm (63)
ρ (Mg/m³): 7.74
Calculated formation energy (eV/atom): -0.2402
D(E_F) (states/eV per atom): 1.20

Lattice parameters (Å, degrees): 5.7471 7.9725 13.3160 90.00 90.00 111.13
Positions (direct):
Ge1 0.2149 0.4298 0.2500
Ge2 0.7851 0.5702 0.7500
Er1 0.7005 0.4011 0.2500
Er2 0.2995 0.5989 0.7500
Er3 0.6905 0.3810 0.9483
Er4 0.3095 0.6190 0.0517
Er5 0.9257 0.8515 0.6144
Er6 0.9257 0.8515 0.8856
Er7 0.0743 0.1485 0.1144
Er8 0.0743 0.1485 0.3856
Er9 0.6905 0.3810 0.5517
Er10 0.3095 0.6190 0.4483
Bi1 0.8648 0.7296 0.1033
Bi2 0.1352 0.2704 0.8967
Bi3 0.1352 0.2704 0.6033
Bi4 0.8648 0.7296 0.3967